(1)
Compound: Ba2HIr
Source: Alexandria
Functional: PBE
Structure: optimized geometry

Properties
Calculated density (g/cm3): 7.46
E above lowest polymorph (meV per atom): 0.0
Volume (A^3/atom): 26.03
Total moment (μB/f.u.): 0.00
Total energy (eV per atom): -4.0706

Structure (extended XYZ):
```
4
Lattice="0.0000 3.7340 3.7340 3.7340 0.0000 3.7340 3.7340 3.7340 0.0000" Properties=species:S:1:pos:R:3 pbc="T T T"
Ba 1.8670 1.8670 1.8670
Ba 5.6009 5.6009 5.6009
H 0.0000 0.0000 0.0000
Ir 3.7340 3.7340 3.7340
```

***

(2)
Compound: Pd2RuO6
Source: Alexandria
Functional: PBE
Structure: optimized geometry

Properties
Calculated density (g/cm3): 6.73
Raw formation energy (eV per atom): -0.5443
Volume (A^3/atom): 11.23
Total moment (μB/f.u.): 0.00
Total energy (eV per atom): -6.0344

Structure (extended XYZ):
```
18
Lattice="4.6092 0.0000 0.0000 0.0000 4.6092 0.0000 0.0000 0.0000 9.5186" Properties=species:S:1:pos:R:3 pbc="T T T"
Pd 0.0000 0.0000 1.5872
Pd 0.0000 0.0000 7.9314
Pd 2.3046 2.3046 3.1721
Pd 2.3046 2.3046 6.3465
Ru 0.0000 0.0000 4.7593
Ru 2.3046 2.3046 0.0000
O 0.8750 0.8750 3.2091
O 0.8750 0.8750 6.3095
O 0.9505 0.9505 0.0000
O 1.3541 3.2550 4.7593
O 1.4296 3.1796 1.5502
O 1.4296 3.1796 7.9684
O 3.1796 1.4296 1.5502
O 3.1796 1.4296 7.9684
O 3.2550 1.3541 4.7593
O 3.6587 3.6587 0.0000
O 3.7342 3.7342 3.2091
O 3.7342 3.7342 6.3095
```

***

(3)
Compound: Cs4AuI2
Source: Alexandria
Functional: PBE
Structure: optimized geometry

Properties
Calculated density (g/cm3): 3.53
E above lowest polymorph (meV per atom): 65.8
Raw formation energy (eV per atom): -0.8748
Volume (A^3/atom): 65.94
Total moment (μB/f.u.): 0.00
Total energy (eV per atom): -2.2736

Structure (extended XYZ):
```
7
Lattice="-3.4154 3.4154 9.8930 3.4154 -3.4154 9.8930 3.4154 3.4154 -9.8930" Properties=species:S:1:pos:R:3 pbc="T T T"
Cs 3.4154 0.0000 0.0000
Cs 0.0000 0.0000 3.7949
Cs 0.0000 3.4154 0.0000
Cs 0.0000 0.0000 15.9912
Au 0.0000 0.0000 0.0000
I 0.0000 0.0000 7.5694
I 0.0000 0.0000 12.2167
```

***

(4)
Compound: Pr4Ag2Os
Source: Alexandria
Functional: PBE
Structure: optimized geometry

Properties
Calculated density (g/cm3): 8.01
Volume (A^3/atom): 28.70
Total moment (μB/f.u.): 0.00
E_form (meV per atom): -48.9
Total energy (eV per atom): -5.1989

Structure (extended XYZ):
```
7
Lattice="2.6144 1.5094 8.4861 -2.6144 1.5094 8.4861 0.0000 -3.0189 8.4861" Properties=species:S:1:pos:R:3 pbc="T T T"
Pr 0.0000 0.0000 3.0020
Pr 0.0000 0.0000 9.4129
Pr 0.0000 0.0000 16.0455
Pr 0.0000 0.0000 22.4564
Ag 0.0000 0.0000 6.2303
Ag 0.0000 0.0000 19.2282
Os 0.0000 0.0000 0.0000
```

***

(5)
Compound: LaHfMn2
Source: Alexandria
Functional: PBE
Structure: optimized geometry

Properties
Calculated density (g/cm3): 7.03
E above lowest polymorph (meV per atom): 344.9
Volume (A^3/atom): 25.23
Total moment (μB/f.u.): 4.77
E_form (meV per atom): 757.6
Total energy (eV per atom): -7.5474

Structure (extended XYZ):
```
8
Lattice="-2.4030 2.4030 8.7391 2.4030 -2.4030 8.7391 2.4030 2.4030 -8.7391" Properties=species:S:1:pos:R:3 pbc="T T T"
La 0.0000 0.0000 0.0000
La 0.0000 2.4030 4.3695
Hf 2.4030 0.0000 4.3695
Hf 0.0000 0.0000 8.7391
Mn 1.2015 -0.2697 6.5543
Mn 2.1332 1.2015 2.1848
Mn 1.2015 2.6727 -2.1848
Mn 0.2697 1.2015 10.9239
```

***

(6)
Compound: Pa2AlGa4
Source: Alexandria
Functional: PBE
Structure: optimized geometry

Properties
Calculated density (g/cm3): 8.36
E above lowest polymorph (meV per atom): 126.7
Volume (A^3/atom): 21.79
Total moment (μB/f.u.): 0.00
E_form (meV per atom): 7.9
Total energy (eV per atom): -4.9695

Structure (extended XYZ):
```
7
Lattice="4.3141 0.0000 0.0000 0.0000 4.3141 0.0000 0.0000 0.0000 8.1936" Properties=species:S:1:pos:R:3 pbc="T T T"
Pa 0.0000 2.1570 2.0024
Pa 2.1570 0.0000 6.1912
Al 2.1570 2.1570 0.0000
Ga 0.0000 0.0000 4.0968
Ga 0.0000 2.1570 6.5642
Ga 2.1570 0.0000 1.6295
Ga 2.1570 2.1570 4.0968
```